No. 1
VASP calculation (PBE) on an optimized crystal structure of CsRe2Te2.

Computed properties:
- formation energy without anion corrections (eV/atom) = 0.21
- energy above the most stable polymorph in this dataset (meV/atom) = 0
- density (g/cm3) = 8.925
- V (Å³/cell) = 283.0

Geometry as CIF:
```
data_CsRe2Te2
_cell_length_a 4.206
_cell_length_b 4.206
_cell_length_c 15.999
_cell_angle_alpha 90.00
_cell_angle_beta 90.00
_cell_angle_gamma 90.00
_symmetry_space_group_name_H-M 'I 4/m m m'
_symmetry_Int_Tables_number 139
_symmetry_space_group_name_Hall '-I 4 2'
loop_
_atom_site_label
_atom_site_type_symbol
_atom_site_fract_x
_atom_site_fract_y
_atom_site_fract_z
_atom_site_occupancy
Cs1 Cs 0.000 0.000 0.000 1
Re1 Re 0.000 0.500 0.250 1
Te1 Te 0.000 0.000 0.351 1
```

=====

No. 2
VASP calculation (PBE) on an optimized crystal structure of CsRe2Te2.

Computed properties:
- formation energy without anion corrections (eV/atom) = 0.92
- energy above the most stable polymorph in this dataset (meV/atom) = 704
- density (g/cm3) = 8.704
- V (Å³/cell) = 290.2

Geometry as CIF:
```
data_CsRe2Te2
_cell_length_a 9.197
_cell_length_b 9.197
_cell_length_c 3.430
_cell_angle_alpha 90.00
_cell_angle_beta 90.00
_cell_angle_gamma 90.00
_symmetry_space_group_name_H-M 'P 4/m b m'
_symmetry_Int_Tables_number 127
_symmetry_space_group_name_Hall '-P 4 2ab'
loop_
_atom_site_label
_atom_site_type_symbol
_atom_site_fract_x
_atom_site_fract_y
_atom_site_fract_z
_atom_site_occupancy
Cs1 Cs 0.000 0.000 0.000 1
Re1 Re 0.087 0.413 0.500 1
Te1 Te 0.152 0.652 0.000 1
```

=====

No. 3
VASP calculation (PBE) on an optimized crystal structure of Cs2ReTe.

Computed properties:
- formation energy without anion corrections (eV/atom) = 0.71
- energy above the most stable polymorph in this dataset (meV/atom) = 0
- density (g/cm3) = 3.898
- V (Å³/cell) = 987.8

Geometry as CIF:
```
data_Cs2ReTe
_cell_length_a 13.939
_cell_length_b 13.939
_cell_length_c 5.084
_cell_angle_alpha 90.00
_cell_angle_beta 90.00
_cell_angle_gamma 90.00
_symmetry_space_group_name_H-M 'I -4 2 d'
_symmetry_Int_Tables_number 122
_symmetry_space_group_name_Hall 'I -4 2bw'
loop_
_atom_site_label
_atom_site_type_symbol
_atom_site_fract_x
_atom_site_fract_y
_atom_site_fract_z
_atom_site_occupancy
Cs1 Cs 0.075 0.250 0.125 1
Re1 Re 0.000 0.000 0.500 1
Te1 Te 0.000 0.000 0.000 1
```

=====

No. 4
VASP calculation (PBE) on an optimized crystal structure of CsReTe2.

Computed properties:
- formation energy without anion corrections (eV/atom) = 0.97
- energy above the most stable polymorph in this dataset (meV/atom) = 944
- density (g/cm3) = 9.195
- V (Å³/cell) = 414.9

Geometry as CIF:
```
data_CsReTe2
_cell_length_a 7.458
_cell_length_b 7.458
_cell_length_c 7.458
_cell_angle_alpha 90.00
_cell_angle_beta 90.00
_cell_angle_gamma 90.00
_symmetry_space_group_name_H-M 'F m -3 m'
_symmetry_Int_Tables_number 225
_symmetry_space_group_name_Hall '-F 4 2 3'
loop_
_atom_site_label
_atom_site_type_symbol
_atom_site_fract_x
_atom_site_fract_y
_atom_site_fract_z
_atom_site_occupancy
Cs1 Cs 0.000 0.000 0.000 1
Re1 Re 0.000 0.000 0.500 1
Te1 Te 0.250 0.250 0.250 1
```